1.
A geometry-optimized ZnSb2S structure. Source: Alexandria, functional PBEsol.

Unit cell a=4.8790 b=4.8790 c=4.8790 alpha=60.00 beta=60.00 gamma=60.00
Closest atoms and distances in Å follow each position.
Atoms (fractional coordinates):
Sb: 0.2500 0.2500 0.2500  4 S 2.99, 4 Zn 2.99
Sb: 0.7500 0.7500 0.7500  4 S 2.99, 4 Zn 2.99
Zn: 0.5000 0.5000 0.5000  8 Sb 2.99
S: 0.0000 0.0000 0.0000  8 Sb 2.99

Properties
- total magnetization (μB/f.u.) = 0.0
- crystal system = cubic
- formation energy from raw total energies (eV/f.u.) = 0.90

***

2.
A geometry-optimized SrBe3Pb structure. Source: Alexandria, functional PBEsol.

Unit cell a=4.8162 b=4.8162 c=4.8162 alpha=90.00 beta=90.00 gamma=90.00
Closest atoms and distances in Å follow each position.
Atoms (fractional coordinates):
Pb: 0.0000 0.0000 0.0000  6 Be 2.41
Sr: 0.5000 0.5000 0.5000  12 Be 3.41
Be: 0.0000 0.5000 0.0000  2 Pb 2.41
Be: 0.0000 0.0000 0.5000  2 Pb 2.41
Be: 0.5000 0.0000 0.0000  2 Pb 2.41

Properties
- energy of formation from the pure elements (kJ/mol of atoms) = 93.03
- total magnetization (μB/f.u.) = 0.0
- crystal system = cubic

***

3.
A geometry-optimized BaCdN2Cl structure. Source: Alexandria, functional PBEsol.

Unit cell a=4.2926 b=4.2926 c=6.4733 alpha=90.00 beta=90.00 gamma=90.00
Closest atoms and distances in Å follow each position.
Atoms (fractional coordinates):
N: 0.0000 0.5000 0.0000  2 Cd 2.15
N: 0.5000 0.0000 0.0000  2 Cd 2.15
Cl: 0.5000 0.5000 0.5000  4 Ba 3.04
Ba: 0.0000 0.0000 0.5000  4 Cl 3.04, 2 Cd 3.24
Cd: 0.0000 0.0000 0.0000  4 N 2.15

Properties
- total magnetization (μB/f.u.) = 2.6
- crystal system = tetragonal
- formation energy from raw total energies (eV/f.u.) = 3.03

***

4.
A geometry-optimized AgAu3 structure. Source: Alexandria, functional PBEsol.

Unit cell a=4.0610 b=4.0675 c=4.0675 alpha=90.00 beta=90.00 gamma=90.00
Closest atoms and distances in Å follow each position.
Atoms (fractional coordinates):
Au: 0.5000 0.0000 0.5000  8 Au 2.87-2.88, 4 Ag 2.87
Au: 0.5000 0.5000 0.0000  4 Ag 2.87, 8 Au 2.87-2.88
Au: 0.0000 0.5000 0.5000  8 Au 2.87, 4 Ag 2.88
Ag: 0.0000 0.0000 0.0000  12 Au 2.87-2.88

Properties
- energy of formation from the pure elements (kJ/mol of atoms) = -4.46
- total magnetization (μB/f.u.) = 0.0
- crystal system = cubic
- distance to the lowest polymorph of the same formula (meV per atom) = 0

***

5.
A geometry-optimized FeNi2Rh structure. Source: Alexandria, functional PBEsol.

Unit cell a=2.5578 b=2.5578 c=7.0100 alpha=90.00 beta=90.00 gamma=90.00
Closest atoms and distances in Å follow each position.
Atoms (fractional coordinates):
Ni: 0.0000 0.0000 0.0001  4 Fe 2.46, 8 Ni 2.46-2.56
Ni: 0.5000 0.5000 0.2387  8 Ni 2.46-2.56, 4 Rh 2.57
Rh: 0.0000 0.0000 0.4985  4 Rh 2.56, 4 Ni 2.57, 4 Fe 2.59
Fe: 0.5000 0.5000 0.7627  4 Ni 2.46, 4 Fe 2.56, 4 Rh 2.59

Properties
- energy of formation from the pure elements (kJ/mol of atoms) = 3.22
- total magnetization (μB/f.u.) = 3.8
- crystal system = tetragonal

***

6.
A geometry-optimized Y5Tl3 structure. Source: Alexandria, functional PBEsol.

Unit cell a=6.0108 b=9.0182 c=9.0182 alpha=83.62 beta=70.53 gamma=70.53
Closest atoms and distances in Å follow each position.
Atoms (fractional coordinates):
Tl: 0.7500 0.0000 0.0000  2 Tl 3.01, 8 Y 3.19
Tl: 0.2500 0.0000 0.0000  2 Tl 3.01, 8 Y 3.19
Tl: 0.3384 0.5000 0.8232  10 Y 3.13-3.47
Tl: 0.6616 0.5000 0.1768  10 Y 3.13-3.47
Tl: 0.8384 0.8232 0.5000  10 Y 3.13-3.47
Tl: 0.1616 0.1768 0.5000  10 Y 3.13-3.47
Y: 0.7500 0.5000 0.5000  2 Y 3.01, 4 Tl 3.13
Y: 0.2500 0.5000 0.5000  2 Y 3.01, 4 Tl 3.13
Y: 0.4175 0.8638 0.3012  6 Tl 3.15-3.47, 1 Y 3.38
Y: 0.5825 0.1362 0.6988  6 Tl 3.15-3.47, 1 Y 3.38
Y: 0.9175 0.3012 0.8638  6 Tl 3.15-3.47, 1 Y 3.38
Y: 0.0825 0.6988 0.1362  6 Tl 3.15-3.47, 1 Y 3.38
Y: 0.2187 0.8638 0.6988  6 Tl 3.15-3.47, 1 Y 3.38
Y: 0.7813 0.1362 0.3012  6 Tl 3.15-3.47, 1 Y 3.38
Y: 0.2813 0.3012 0.1362  6 Tl 3.15-3.47, 1 Y 3.38
Y: 0.7187 0.6988 0.8638  6 Tl 3.15-3.47, 1 Y 3.38

Properties
- energy of formation from the pure elements (kJ/mol of atoms) = -40.86
- total magnetization (μB/f.u.) = 0.0
- crystal system = tetragonal
- distance to the lowest polymorph of the same formula (meV per atom) = 0

***

no.,calculated volume (Å³ per atom)
1,20.531
2,22.343
3,23.855
4,16.797
5,11.465
6,27.160